Entry 1:
VASP calculation (PBE-GGA) on a geometry-optimized Tb2PmNdTm2 structure.

It has space group Pnnm (No. 58), with a = 6.982 Å, b = 16.080 Å, c = 3.540 Å, α = 90.00°, β = 90.00° and γ = 90.00°. The asymmetric unit holds Tb at (0.250, 0.159, 0.000), Pm at (0.000, 0.000, 0.500), Nd at (0.000, 0.500, 0.000) and Tm at (0.250, 0.344, 0.500).

The calculation puts the total magnetization at 0.0 μB/f.u. For the density of states at the Fermi level, the calculation gives 9.3 states/eV/f.u. As for the formation energy: 0.17 eV per atom.

Entry 2:
VASP calculation (PBE-GGA) on a geometry-optimized TmSc5Ni6 structure.

It has space group Cmmm (No. 65), with a = 4.549 Å, b = 13.633 Å, c = 6.316 Å, α = 90.00°, β = 90.00° and γ = 90.00°. The asymmetric unit holds Tm at (0.000, 0.000, 0.000), Sc at (0.000, 0.000, 0.500), Sc at (0.000, 0.331, 0.000), Sc at (0.000, 0.333, 0.500), Ni at (0.000, 0.171, 0.254) and Ni at (0.000, 0.500, 0.261).

The calculation puts the total magnetization at 0.0 μB/f.u. For the density of states at the Fermi level, the calculation gives 8.3 states/eV/f.u. As for the formation energy: -0.49 eV per atom.

Entry 3:
VASP calculation (PBE-GGA) on a geometry-optimized NaLa6Tl5 structure.

It has space group Immm (No. 71), with a = 5.673 Å, b = 7.895 Å, c = 17.105 Å, α = 90.00°, β = 90.00° and γ = 90.00°. The asymmetric unit holds Na at (0.000, 0.000, 0.000), La at (0.000, 0.236, 0.500), La at (0.000, 0.254, 0.172), Tl at (0.000, 0.000, 0.332), Tl at (0.000, 0.500, 0.000) and Tl at (0.000, 0.500, 0.348).

The calculation puts the total magnetization at 0.0 μB/f.u. For the density of states at the Fermi level, the calculation gives 14.6 states/eV/f.u. As for the formation energy: -0.34 eV per atom.

Entry 4:
VASP calculation (PBE-GGA) on a geometry-optimized Sc2TaRe structure.

It has space group Pmm2 (No. 25), with a = 2.807 Å, b = 4.649 Å, c = 5.734 Å, α = 90.00°, β = 90.00° and γ = 90.00°. The asymmetric unit holds Sc at (0.000, 0.000, 0.000), Sc at (0.500, 0.500, 0.261), Ta at (0.000, 0.000, 0.525) and Re at (0.500, 0.500, 0.743).

Its excess energy over the best structure of this formula in the dataset is 0.3232 eV/atom. The calculation puts the total magnetization at 0.0 μB/f.u. For the density of states at the Fermi level, the calculation gives 5.5 states/eV/f.u. As for the formation energy: 0.21 eV per atom.

Q: Among the records above, which one has the lowest density of states at the Fermi level?
A: Sc2TaRe

Q: Which of these has the lowest density of states at the Fermi level?
A: Sc2TaRe